KNaVO3 | PBE with a Hubbard U | optimized geometry

Structure (CIF):
```
data_KNaVO3
_chemical_formula_sum 'K4 Na4 V4 O12'
_symmetry_space_group_name_H-M 'C 1 2/m 1'
_symmetry_Int_Tables_number 12
_cell_length_a 10.105
_cell_length_b 7.363
_cell_length_c 8.076
_cell_angle_alpha 90.00
_cell_angle_beta 126.80
_cell_angle_gamma 90.00
loop_
_symmetry_equiv_pos_as_xyz
'x,y,z'
'-x,-y,-z'
'-x,y,-z'
'x,-y,z'
'x+1/2,y+1/2,z'
'-x+1/2,-y+1/2,-z'
'-x+1/2,y+1/2,-z'
'x+1/2,-y+1/2,z'
loop_
_atom_site_label
_atom_site_fract_x
_atom_site_fract_y
_atom_site_fract_z
_atom_site_occupancy
K1 0.174 0.000 0.493 1
Na1 0.000 0.206 0.000 1
V1 0.076 0.500 0.707 1
O1 0.010 0.306 0.278 1
O2 0.216 0.000 0.190 1
```

Output
Density in g cm⁻³: 2.22
Magnetic moment in Bohr magnetons per cell: 0.1
Final energy in Ry/atom: -0.433